No. 1
Compound: Ca2SnGe2
Source: the Alexandria database
Functional: GGA-PBE
Structure: optimized geometry

## Properties
Crystal system ... tetragonal
Calculated total energy ... -4.015 eV per atom
Fermi-level density of states ... 4.213 states/eV/cell
ρ ... 4.58 Mg/m³

The structure in POSCAR format:
```
Ca2SnGe2
1.0
-0.607 -4.785 5.690
6.780 1.984 2.392
-1.834 3.229 2.520
Ge Ca Sn
4 4 2
direct
0.380 0.880 0.000 Ge
0.880 0.620 0.000 Ge
0.620 0.120 0.000 Ge
0.120 0.380 0.000 Ge
0.177 0.677 0.500 Ca
0.677 0.823 0.500 Ca
0.823 0.323 0.500 Ca
0.323 0.177 0.500 Ca
0.000 0.000 0.000 Sn
0.500 0.500 0.000 Sn
```

---

No. 2
Compound: Ca5Sn2Ge
Source: the Alexandria database
Functional: GGA-PBE
Structure: optimized geometry

## Properties
Crystal system ... tetragonal
Calculated total energy ... -3.414 eV per atom
Fermi-level density of states ... 13.532 states/eV/cell
ρ ... 3.43 Mg/m³

The structure in POSCAR format:
```
Ca5Sn2Ge
1.0
-3.429 7.053 -1.772
-5.050 -3.719 -5.031
-0.735 -2.649 9.121
Ca Sn Ge
10 4 2
direct
0.529 0.677 0.707 Ca
0.823 0.971 0.293 Ca
0.000 0.000 0.000 Ca
0.500 0.500 0.000 Ca
0.177 0.029 0.707 Ca
0.677 0.177 0.707 Ca
0.029 0.529 0.707 Ca
0.323 0.823 0.293 Ca
0.971 0.471 0.293 Ca
0.471 0.323 0.293 Ca
0.126 0.374 0.000 Sn
0.626 0.126 0.000 Sn
0.374 0.874 0.000 Sn
0.874 0.626 0.000 Sn
0.750 0.750 0.500 Ge
0.250 0.250 0.500 Ge
```

---

No. 3
Compound: Ca5SnGe2
Source: the Alexandria database
Functional: GGA-PBE
Structure: optimized geometry

## Properties
Crystal system ... tetragonal
Calculated total energy ... -3.582 eV per atom
Fermi-level density of states ... 9.039 states/eV/cell
ρ ... 3.32 Mg/m³

The structure in POSCAR format:
```
Ca5SnGe2
1.0
-1.136 7.020 -3.300
-7.086 -2.296 -2.445
1.067 0.173 9.315
Ca Sn Ge
10 2 4
direct
0.540 0.687 0.727 Ca
0.813 0.960 0.273 Ca
0.000 0.000 0.000 Ca
0.500 0.500 0.000 Ca
0.187 0.040 0.727 Ca
0.687 0.187 0.727 Ca
0.040 0.540 0.727 Ca
0.313 0.813 0.273 Ca
0.960 0.460 0.273 Ca
0.460 0.313 0.273 Ca
0.750 0.750 0.500 Sn
0.250 0.250 0.500 Sn
0.118 0.382 0.000 Ge
0.618 0.118 0.000 Ge
0.382 0.882 0.000 Ge
0.882 0.618 0.000 Ge
```

---

Result set for calculated volume: 249.68; 494.13; 464.89 Å³/cell, one per record in the order listed.
Result set for formation energy: -0.5672; -0.5847; -0.6766 eV per atom, one per record in the order listed.